i.
Computed, not measured: a relaxed PPtIN2 crystal at the PBE-GGA level of DFT.

a b c (Å): 3.5897 3.5897 7.7000
angles (deg): 90.00 90.00 90.00
Site moments in Bohr magnetons follow the coordinates.
Atoms (fractional coordinates):
N  0.5000  0.0000  0.0000  0.24
N  0.0000  0.5000  0.0000  0.24
I  0.0000  0.0000  0.5000  0.00
P  0.0000  0.0000  0.0000  0.01
Pt  0.5000  0.5000  0.5000  0.01

## Properties
size of the total moment = 0.68 μB per cell

=====

ii.
Computed, not measured: a relaxed PPtIN2 crystal at the PBE-GGA level of DFT.

a b c (Å): 3.7935 3.7935 8.7884
angles (deg): 90.00 90.00 90.00
Atoms (fractional coordinates):
Pt  0.0000  0.0000  0.0000
N  0.5000  0.0000  0.0000
N  0.0000  0.5000  0.0000
I  0.0000  0.0000  0.5000
P  0.5000  0.5000  0.5000

## Properties
size of the total moment = 0.00 μB per cell

=====

Unit: meV per atom. Relative energies: i 0; ii 178.